A geometry-optimized SrAs2Br structure, computed with GGA-PBE.

Cell: 3.884 4.144 7.899 Å, 82.84 90.00 90.00°
Fractional coordinates of all 4 atoms:
As (0.500, 0.290, 0.088)
Sr (0.500, 0.876, 0.752)
Br (0.000, 0.418, 0.583)
As (0.000, 0.916, 0.077)

Values from the calculation:
The uncorrected formation energy comes out at -0.9073 eV per atom. The value obtained for the excess energy over the best structure of this formula in the dataset is 0.00 eV per formula unit. The magnetization comes out at 0.00 Bohr magnetons per cell. The crystal system is monoclinic. Its symmetry is Pm, No. 6. For the total energy, the calculation gives -16.28 eV for the cell shown. Its density of states at the Fermi level is 1.04 states/eV/cell.